# 1
Tb7YSc3: optimized geometry, PBE.

Computed properties:
energy above the lowest structure with this stoichiometry	0.0659	eV/atom
D(E_F)	1.644	states/eV/atom
density	6.39	g/cm3

Cell: 8.262 6.968 6.968 Å, 120.00 90.00 90.00°
Fractional positions:
1 Tb 0.103 0.168 0.832
2 Tb 0.103 0.168 0.335
3 Tb 0.119 0.667 0.333
4 Tb 0.462 0.832 0.168
5 Tb 0.462 0.336 0.168
6 Tb 0.462 0.832 0.664
7 Tb 0.103 0.665 0.832
8 Y 0.448 0.333 0.667
9 Sc 0.783 0.500 0.500
10 Sc 0.783 0.500 0.000
11 Sc 0.783 0.000 0.500



# 2
Tb3Y4Sc: optimized geometry, PBE.

Computed properties:
energy above the lowest structure with this stoichiometry	0.1402	eV/atom
D(E_F)	1.583	states/eV/atom
density	5.68	g/cm3

Cell: 3.588 5.341 13.765 Å, 101.19 97.40 90.00°
Fractional positions:
1 Y 0.405 0.404 0.808
2 Y 0.595 0.596 0.192
3 Y 0.717 0.718 0.436
4 Y 0.283 0.282 0.564
5 Sc 0.000 0.500 0.000
6 Tb 0.500 0.000 0.000
7 Tb 0.146 0.147 0.295
8 Tb 0.854 0.853 0.705



# 3
Tb3YSc: optimized geometry, PBE.

Computed properties:
energy above the lowest structure with this stoichiometry	0.0000	eV/atom
D(E_F)	1.628	states/eV/atom
density	6.62	g/cm3

Cell: 5.345 6.973 8.643 Å, 89.98 108.01 90.00°
Fractional positions:
1 Tb 0.996 0.750 0.992
2 Tb 0.004 0.250 0.008
3 Tb 0.388 0.998 0.776
4 Tb 0.612 0.002 0.224
5 Tb 0.201 0.751 0.402
6 Tb 0.799 0.249 0.598
7 Y 0.612 0.498 0.225
8 Y 0.388 0.502 0.775
9 Sc 0.799 0.750 0.599
10 Sc 0.201 0.250 0.401



# 4
Tb4Y3Sc2: optimized geometry, PBE.

Computed properties:
energy above the lowest structure with this stoichiometry	0.0075	eV/atom
D(E_F)	1.496	states/eV/atom
density	6.04	g/cm3

Cell: 5.936 9.933 9.933 Å, 69.82 84.36 84.36°
Fractional positions:
1 Tb 0.546 0.050 0.821
2 Tb 0.954 0.179 0.950
3 Tb 0.454 0.950 0.179
4 Tb 0.046 0.821 0.050
5 Tb 0.605 0.827 0.614
6 Tb 0.895 0.386 0.173
7 Tb 0.395 0.173 0.386
8 Tb 0.105 0.614 0.827
9 Y 0.078 0.983 0.677
10 Y 0.422 0.323 0.017
11 Y 0.922 0.017 0.323
12 Y 0.578 0.677 0.983
13 Y 0.250 0.359 0.641
14 Y 0.750 0.641 0.359
15 Sc 0.201 0.713 0.485
16 Sc 0.299 0.515 0.287
17 Sc 0.799 0.287 0.515
18 Sc 0.701 0.485 0.713